A plane-wave DFT calculation with GGA-PBE was carried out for crystalline CaCo2Pb at its relaxed geometry.

a = 3.9061 Å, b = 4.2325 Å, c = 9.5597 Å
α = 90.00°, β = 90.00°, γ = 90.00°
With the nearest neighbours (Å) after each atom.
Space group Amm2 (No. 38)
Asymmetric unit:
1 Ca 0.0000 0.0000 0.0000 x2  7 Co 2.82-3.01
2 Co 0.0000 0.0000 0.2955 x2  2 Co 2.23
3 Co 0.5000 0.0000 0.4075 x2  2 Co 2.23
4 Pb 0.5000 0.0000 0.7048 x2  7 Co 2.84-3.01

Output
total DFT energy (no corrections) = -4.8186 eV per atom
N(E_F) = 4.34 states/eV/f.u.
formation energy = 0.6 eV per formula unit


A plane-wave DFT calculation with GGA-PBE was carried out for crystalline CaCoPb2 at its relaxed geometry.

a = 4.6652 Å, b = 4.6652 Å, c = 4.4496 Å
α = 90.00°, β = 90.00°, γ = 90.00°
With the nearest neighbours (Å) after each atom.
Space group P4/mmm (No. 123)
Asymmetric unit:
1 Ca 0.0000 0.0000 0.0000 x1  8 Pb 3.22, 4 Co 3.30
2 Co 0.5000 0.5000 0.0000 x1  8 Pb 3.22, 4 Ca 3.30
3 Pb 0.0000 0.5000 0.5000 x2  4 Co 3.22, 4 Ca 3.22, 4 Pb 3.30

Output
total DFT energy (no corrections) = -3.9540 eV per atom
N(E_F) = 5.29 states/eV/f.u.
formation energy = 0.7 eV per formula unit


- Which formula does entry 1 have?
  CaCo2Pb


- Number 2 is which compound?
  CaCoPb2